# Li6CuSi2

A geometry-optimized Li6CuSi2 structure (PBE, the Alexandria database).

Calculated values
- Space group: R-3m
- E: -3.15 eV/atom
- Raw formation energy: -212 meV per atom

Lattice parameters (Å, degrees): 5.0012 5.0012 5.0012 96.97 96.97 96.97
With the nearest neighbours (Å) after each atom.
Fractional positions:
Li  0.0000  0.3289  0.6711  5 Li 2.46-2.56
Li  0.0000  0.6711  0.3289  5 Li 2.46-2.56
Li  0.3289  0.0000  0.6711  5 Li 2.46-2.56
Li  0.3289  0.6711  0.0000  5 Li 2.46-2.56
Li  0.6711  0.0000  0.3289  5 Li 2.46-2.56
Li  0.6711  0.3289  0.0000  5 Li 2.46-2.56
Cu  0.5000  0.5000  0.5000  2 Si 2.41
Si  0.1799  0.1799  0.1799  1 Cu 2.41
Si  0.8201  0.8201  0.8201  1 Cu 2.41

# LiCu2Si

A geometry-optimized LiCu2Si structure (PBE, the Alexandria database).

Calculated values
- Space group: I-4m2
- E: -4.01 eV/atom
- Raw formation energy: -125 meV per atom

Lattice parameters (Å, degrees): 4.4553 4.4553 4.4553 131.61 131.61 70.85
With the nearest neighbours (Å) after each atom.
Fractional positions:
Li  0.0000  0.0000  0.0000  8 Cu 2.57-2.58, 4 Si 2.57
Cu  0.2500  0.7500  0.5000  4 Li 2.57, 4 Cu 2.57, 4 Si 2.58
Cu  0.5000  0.5000  0.0000  4 Cu 2.57, 4 Si 2.57, 4 Li 2.58
Si  0.7500  0.2500  0.5000  4 Li 2.57, 8 Cu 2.57-2.58

# LiCu2Si

A geometry-optimized LiCu2Si structure (PBE, the Alexandria database).

Calculated values
- Space group: P4/mmm
- E: -4.02 eV/atom
- Raw formation energy: -138 meV per atom

Lattice parameters (Å, degrees): 3.9332 3.9332 3.1156 90.00 90.00 90.00
With the nearest neighbours (Å) after each atom.
Fractional positions:
Li  0.0000  0.0000  0.0000  8 Cu 2.51, 4 Si 2.78
Cu  0.0000  0.5000  0.5000  4 Li 2.51, 4 Si 2.51, 4 Cu 2.78
Cu  0.5000  0.0000  0.5000  4 Li 2.51, 4 Si 2.51, 4 Cu 2.78
Si  0.5000  0.5000  0.0000  8 Cu 2.51, 4 Li 2.78

# LiCuSi

A geometry-optimized LiCuSi structure (PBE, the Alexandria database).

Calculated values
- Space group: I4mm
- E: -3.86 eV/atom
- Raw formation energy: -52 meV per atom

Lattice parameters (Å, degrees): 6.1418 6.1418 6.1418 155.45 155.45 34.99
With the nearest neighbours (Å) after each atom.
Fractional positions:
Li  0.0000  0.0000  0.0000  4 Li 2.61, 4 Si 2.73, 4 Cu 2.78
Cu  0.6778  0.6778  0.0000  4 Si 2.55, 4 Cu 2.61, 4 Li 2.78
Si  0.3284  0.3284  0.0000  4 Cu 2.55, 4 Si 2.61, 4 Li 2.73

# LiCuSi2

A geometry-optimized LiCuSi2 structure (PBE, the Alexandria database).

Calculated values
- Space group: C2/m
- E above lowest polymorph: 0.062 eV per atom
- E: -4.19 eV/atom
- Raw formation energy: 24 meV per atom

Lattice parameters (Å, degrees): 4.3483 4.3483 4.8604 101.29 101.29 36.73
With the nearest neighbours (Å) after each atom.
Fractional positions:
Li  0.0000  0.0000  0.0000  6 Si 2.56-2.62, 2 Li 2.74, 4 Cu 2.79
Cu  0.5000  0.5000  0.5000  6 Si 2.51-2.65, 2 Cu 2.74, 4 Li 2.79
Si  0.2417  0.2417  0.7444  3 Cu 2.51-2.65, 3 Li 2.56-2.62, 4 Si 2.74-2.77
Si  0.7583  0.7583  0.2556  3 Cu 2.51-2.65, 3 Li 2.56-2.62, 4 Si 2.74-2.77

# Li4CuSi

A geometry-optimized Li4CuSi structure (PBE, the Alexandria database).

Calculated values
- Space group: F-43m
- E above lowest polymorph: 0.293 eV per atom
- E: -2.76 eV/atom
- Raw formation energy: 106 meV per atom

Lattice parameters (Å, degrees): 4.8177 4.8177 4.8177 60.00 60.00 60.00
With the nearest neighbours (Å) after each atom.
Fractional positions:
Li  0.1245  0.1245  0.1245  6 Li 2.40-2.42
Li  0.1245  0.1245  0.6265  6 Li 2.40-2.42
Li  0.1245  0.6265  0.1245  6 Li 2.40-2.42
Li  0.6265  0.1245  0.1245  6 Li 2.40-2.42
Cu  0.5000  0.5000  0.5000  12 Li 2.83, 4 Si 2.95
Si  0.7500  0.7500  0.7500  12 Li 2.82, 4 Cu 2.95

# Li17CuSi11

A geometry-optimized Li17CuSi11 structure (PBE, the Alexandria database).

Calculated values
- Space group: Cm
- E: -3.55 eV/atom
- Raw formation energy: -232 meV per atom

Lattice parameters (Å, degrees): 8.2430 8.2430 8.1840 109.44 109.44 109.39
With the nearest neighbours (Å) after each atom.
Fractional positions:
Li  0.0000  0.0000  0.0000  1 Cu 2.74, 4 Li 2.79-2.96, 11 Si 2.87-2.94
Li  0.0006  0.0006  0.3615  4 Li 2.70-2.96, 6 Si 2.82-2.88
Li  0.2838  0.6791  0.6835  5 Si 2.61-2.88, 7 Li 2.76-2.86
Li  0.3067  0.5926  0.9955  4 Si 2.64-2.79, 7 Li 2.74-2.88, 1 Cu 2.91
Li  0.3113  0.9936  0.6038  4 Si 2.58-2.88, 7 Li 2.70-2.86, 1 Cu 2.72
Li  0.3349  0.9947  0.9957  1 Cu 2.71, 4 Li 2.74-2.79, 5 Si 2.76-2.81
Li  0.3883  0.3883  0.7127  4 Si 2.68-2.89, 1 Cu 2.69, 7 Li 2.80-2.86
Li  0.3949  0.7076  0.3944  5 Si 2.63-2.88, 7 Li 2.69-2.89
Li  0.5926  0.3067  0.9955  4 Si 2.64-2.79, 7 Li 2.74-2.88, 1 Cu 2.91
Li  0.5976  0.9937  0.3130  5 Si 2.60-2.88, 7 Li 2.78-2.89
Li  0.6459  0.6459  0.6429  4 Li 2.69-2.93, 6 Si 2.80-2.85
Li  0.6777  0.6777  0.2908  3 Si 2.57-2.66, 7 Li 2.78-2.87
Li  0.6791  0.2838  0.6835  5 Si 2.61-2.88, 7 Li 2.76-2.86
Li  0.7076  0.3949  0.3944  5 Si 2.63-2.88, 7 Li 2.69-2.89
Li  0.9936  0.3113  0.6038  4 Si 2.58-2.88, 7 Li 2.70-2.86, 1 Cu 2.72
Li  0.9937  0.5976  0.3130  5 Si 2.60-2.88, 7 Li 2.78-2.89
Li  0.9947  0.3349  0.9957  1 Cu 2.71, 4 Li 2.74-2.79, 5 Si 2.76-2.81
Cu  0.1700  0.1700  0.8214  3 Si 2.33-2.42
Si  0.1762  0.3615  0.3660  3 Si 2.41-2.57, 3 Li 2.61-2.70
Si  0.1820  0.8182  0.1862  3 Si 2.41-2.54, 2 Li 2.63-2.69
Si  0.3615  0.1762  0.3660  3 Si 2.41-2.57, 3 Li 2.61-2.70
Si  0.3619  0.3619  0.1688  1 Cu 2.33, 1 Li 2.57, 2 Si 2.57
Si  0.6257  0.9912  0.8061  3 Si 2.42-2.54, 3 Li 2.58-2.70
Si  0.6287  0.8075  0.9995  3 Si 2.41-2.53, 3 Li 2.64-2.68
Si  0.8075  0.6287  0.9995  3 Si 2.41-2.53, 3 Li 2.64-2.68
Si  0.8119  0.9974  0.6319  1 Cu 2.42, 2 Si 2.42-2.50, 3 Li 2.60-2.66
Si  0.8182  0.1820  0.1862  3 Si 2.41-2.54, 2 Li 2.63-2.69
Si  0.9912  0.6257  0.8061  3 Si 2.42-2.54, 3 Li 2.58-2.70
Si  0.9974  0.8119  0.6319  1 Cu 2.42, 2 Si 2.42-2.50, 3 Li 2.60-2.66

# LiCuSi

A geometry-optimized LiCuSi structure (PBE, the Alexandria database).

Calculated values
- Space group: Imm2
- E: -3.94 eV/atom
- Raw formation energy: -128 meV per atom

Lattice parameters (Å, degrees): 4.4319 4.4319 4.4319 145.28 129.56 62.69
With the nearest neighbours (Å) after each atom.
Fractional positions:
Li  0.0000  0.0000  0.0000  5 Cu 2.49-2.65, 5 Si 2.50-2.64, 2 Li 2.65
Cu  0.3287  0.3287  0.0000  5 Li 2.49-2.65, 5 Si 2.58-2.60, 2 Cu 2.65
Si  0.6696  0.6696  0.0000  5 Li 2.50-2.64, 5 Cu 2.58-2.60, 2 Si 2.65

# LiCuSi2

A geometry-optimized LiCuSi2 structure (PBE, the Alexandria database).

Calculated values
- Space group: P4/mmm
- E above lowest polymorph: 0.025 eV per atom
- E: -4.23 eV/atom
- Raw formation energy: -13 meV per atom

Lattice parameters (Å, degrees): 2.6199 2.6199 7.9069 90.00 90.00 90.00
With the nearest neighbours (Å) after each atom.
Fractional positions:
Li  0.0000  0.0000  0.0000  4 Li 2.62, 8 Si 2.77
Cu  0.0000  0.0000  0.5000  4 Cu 2.62, 8 Si 2.65
Si  0.5000  0.5000  0.2608  4 Si 2.62, 4 Cu 2.65, 4 Li 2.77
Si  0.5000  0.5000  0.7392  4 Si 2.62, 4 Cu 2.65, 4 Li 2.77

# LiCuSi4

A geometry-optimized LiCuSi4 structure (PBE, the Alexandria database).

Calculated values
- Space group: F-43m
- E: -4.35 eV/atom
- Raw formation energy: 265 meV per atom

Lattice parameters (Å, degrees): 5.0328 5.0328 5.0328 60.00 60.00 60.00
With the nearest neighbours (Å) after each atom.
Fractional positions:
Li  0.0000  0.0000  0.0000  12 Si 2.95, 4 Cu 3.08
Cu  0.2500  0.2500  0.2500  12 Si 2.95, 4 Li 3.08
Si  0.1261  0.6246  0.6246  6 Si 2.51-2.52
Si  0.6246  0.1261  0.6246  6 Si 2.51-2.52
Si  0.6246  0.6246  0.1261  6 Si 2.51-2.52
Si  0.6246  0.6246  0.6246  6 Si 2.51-2.52

# Li3Cu7Si2

A geometry-optimized Li3Cu7Si2 structure (PBE, the Alexandria database).

Calculated values
- Space group: C2/m
- E above lowest polymorph: 0.000 eV per atom
- E: -3.93 eV/atom
- Raw formation energy: -158 meV per atom

Lattice parameters (Å, degrees): 4.1117 4.1117 8.9923 103.27 103.27 89.77
With the nearest neighbours (Å) after each atom.
Fractional positions:
Li  0.0000  0.0000  0.0000  8 Cu 2.52-2.53, 2 Si 2.80
Li  0.3334  0.3334  0.6650  8 Cu 2.48-2.49
Li  0.6666  0.6666  0.3350  8 Cu 2.48-2.49
Cu  0.0856  0.5858  0.1726  2 Si 2.45-2.46, 4 Li 2.48-2.53, 2 Cu 2.52-2.53
Cu  0.2486  0.7514  0.5000  4 Li 2.49, 4 Si 2.51-2.52, 2 Cu 2.79
Cu  0.4142  0.9144  0.8274  2 Si 2.45-2.46, 4 Li 2.48-2.53, 2 Cu 2.52-2.53
Cu  0.5000  0.5000  0.0000  8 Cu 2.52-2.53
Cu  0.5858  0.0856  0.1726  2 Si 2.45-2.46, 4 Li 2.48-2.53, 2 Cu 2.52-2.53
Cu  0.7514  0.2486  0.5000  4 Li 2.49, 4 Si 2.51-2.52, 2 Cu 2.79
Cu  0.9144  0.4142  0.8274  2 Si 2.45-2.46, 4 Li 2.48-2.53, 2 Cu 2.52-2.53
Si  0.1651  0.1651  0.3297  8 Cu 2.45-2.52
Si  0.8349  0.8349  0.6703  8 Cu 2.45-2.52

# LiCu2Si

A geometry-optimized LiCu2Si structure (PBE, the Alexandria database).

Calculated values
- Space group: Pmm2
- E: -3.97 eV/atom
- Raw formation energy: -85 meV per atom

Lattice parameters (Å, degrees): 2.5943 3.7783 5.0484 90.00 90.00 90.00
With the nearest neighbours (Å) after each atom.
Fractional positions:
Li  0.0000  0.0000  0.0000  6 Cu 2.50-2.58, 2 Li 2.59, 4 Si 2.67
Cu  0.0000  0.0000  0.4957  2 Li 2.50-2.55, 4 Si 2.56, 6 Cu 2.59-2.66
Cu  0.5000  0.5000  0.7646  2 Si 2.49-2.56, 4 Li 2.58, 6 Cu 2.59-2.66
Si  0.5000  0.5000  0.2710  6 Cu 2.49-2.56, 2 Si 2.59, 4 Li 2.67

> The highest E belongs to which entry?

Li4CuSi

> raw formation energy of number 8 (LiCuSi)?

-128 meV per atom